An optimized crystal structure of KAlBi2Se. Source: the Alexandria database, functional PBE.

Symmetry: P4/mmm, No. 123
Total moment, μB/f.u.: 0.00
Formation energy without anion corrections, kJ/mol of formula units: 508
Calculated density, g cm⁻³: 4.690
Calculated total energy, eV for the cell shown: -10.82
V, Å³ per cell: 199.34
ΔE to the lowest computed polymorph, meV per atom: 0

The structure in POSCAR format:
```
KAlBi2Se
1.0
5.9727 0.0000 0.0000
0.0000 5.5878 0.0000
0.0000 0.0000 5.9727
Al Bi Se K
1 2 1 1
Cartesian
2.9864 2.7939 2.9864
2.9864 0.0000 0.0000
0.0000 0.0000 2.9864
0.0000 2.7939 0.0000
0.0000 0.0000 0.0000
```

An optimized crystal structure of BaSm4Zn5. Source: the Alexandria database, functional PBE.

Symmetry: P4/mmm, No. 123
Total moment, μB/f.u.: 0.00
Calculated density, g cm⁻³: 6.862
Formation enthalpy at 0 K, kJ/mol of formula units: -262.9
Calculated total energy, eV for the cell shown: -29.89
V, Å³ per cell: 257.90

The structure in POSCAR format:
```
BaSm4Zn5
1.0
3.7013 0.0000 0.0000
0.0000 3.7013 0.0000
0.0000 0.0000 18.8251
Sm Ba Zn
4 1 5
Cartesian
0.0000 0.0000 11.1977
0.0000 0.0000 14.7771
0.0000 0.0000 4.0480
0.0000 0.0000 7.6274
0.0000 0.0000 0.0000
1.8507 1.8507 5.8213
1.8507 1.8507 2.3649
1.8507 1.8507 16.4602
1.8507 1.8507 9.4125
1.8507 1.8507 13.0037
```